1.
PBE-GGA Pb2CS2O6, optimized geometry; space group = No. 62; raw formation energy = -1284 kJ/mol of formula units
1.0
16.595 0.000 0.000
0.000 8.862 0.000
0.000 0.000 4.679
Pb C S O
8 4 8 24
Direct
0.136 0.013 0.091
0.136 0.487 0.091
0.364 0.513 0.591
0.364 0.987 0.591
0.636 0.013 0.409
0.636 0.487 0.409
0.864 0.513 0.909
0.864 0.987 0.909
0.213 0.250 0.620
0.287 0.750 0.120
0.713 0.250 0.880
0.787 0.750 0.380
0.003 0.250 0.580
0.114 0.750 0.569
0.386 0.250 0.069
0.497 0.750 0.080
0.503 0.250 0.920
0.614 0.750 0.931
0.886 0.250 0.431
0.997 0.750 0.420
0.013 0.111 0.753
0.013 0.389 0.753
0.061 0.250 0.336
0.186 0.250 0.883
0.226 0.121 0.496
0.226 0.379 0.496
0.274 0.621 0.996
0.274 0.879 0.996
0.314 0.750 0.383
0.439 0.750 0.836
0.487 0.611 0.253
0.487 0.889 0.253
0.513 0.111 0.747
0.513 0.389 0.747
0.561 0.250 0.164
0.686 0.250 0.617
0.726 0.121 0.004
0.726 0.379 0.004
0.774 0.621 0.504
0.774 0.879 0.504
0.814 0.750 0.117
0.939 0.750 0.664
0.987 0.611 0.247
0.987 0.889 0.247


2.
PBE-GGA Sc3PbCO, optimized geometry; space group = No. 11; raw formation energy = -749 kJ/mol of formula units
1.0
8.343 0.000 0.000
0.000 3.471 0.000
-3.103 0.000 7.830
Sc Pb C O
6 2 2 2
Direct
0.061 0.250 0.176
0.352 0.750 0.515
0.376 0.750 0.150
0.624 0.250 0.850
0.648 0.250 0.485
0.939 0.750 0.824
0.221 0.250 0.752
0.779 0.750 0.248
0.366 0.250 0.332
0.634 0.750 0.668
0.118 0.750 0.079
0.882 0.250 0.921


3.
PBE-GGA Sc6Pb2CO, optimized geometry; space group = No. 225; raw formation energy = -1009 kJ/mol of formula units
1.0
0.000 4.529 4.529
4.529 0.000 4.529
4.529 4.529 0.000
Sc Pb C O
6 2 1 1
Direct
0.247 0.247 0.753
0.247 0.753 0.247
0.247 0.753 0.753
0.753 0.247 0.247
0.753 0.247 0.753
0.753 0.753 0.247
0.250 0.250 0.250
0.750 0.750 0.750
0.000 0.000 0.000
0.500 0.500 0.500


4.
PBE-GGA Sm6Pb2CO, optimized geometry; space group = No. 225; raw formation energy = -917 kJ/mol of formula units
1.0
0.000 4.991 4.991
4.991 0.000 4.991
4.991 4.991 0.000
Sm Pb C O
6 2 1 1
Direct
0.248 0.248 0.752
0.248 0.752 0.248
0.248 0.752 0.752
0.752 0.248 0.248
0.752 0.248 0.752
0.752 0.752 0.248
0.250 0.250 0.250
0.750 0.750 0.750
0.000 0.000 0.000
0.500 0.500 0.500


5.
PBE-GGA TbPbC2O6, optimized geometry; space group = No. 15; raw formation energy = -1741 kJ/mol of formula units
1.0
4.885 -4.284 0.000
4.885 4.284 0.000
-2.956 0.000 6.446
Tb Pb C O
2 2 4 12
Direct
0.084 0.916 0.750
0.916 0.084 0.250
0.457 0.543 0.250
0.543 0.457 0.750
0.075 0.365 0.762
0.365 0.075 0.262
0.635 0.925 0.738
0.925 0.635 0.238
0.044 0.782 0.397
0.105 0.550 0.746
0.163 0.302 0.926
0.218 0.956 0.103
0.302 0.163 0.426
0.450 0.895 0.754
0.550 0.105 0.246
0.698 0.837 0.574
0.782 0.044 0.897
0.837 0.698 0.074
0.895 0.450 0.254
0.956 0.218 0.603


6.
PBE-GGA TlPb2C2O6, optimized geometry; space group = No. 2; raw formation energy = -1198 kJ/mol of formula units
1.0
5.308 0.000 0.000
2.632 5.676 0.000
0.021 1.248 6.470
Tl Pb C O
1 2 2 6
Direct
0.000 0.000 0.000
0.315 0.367 0.729
0.685 0.633 0.271
0.391 0.231 0.323
0.609 0.769 0.677
0.153 0.290 0.408
0.420 0.722 0.591
0.439 0.127 0.166
0.561 0.873 0.834
0.580 0.278 0.409
0.847 0.710 0.592